VASP calculation (PBE) on a geometry-optimized HfGaCuNi structure.

VASP energy: -24.1 eV/f.u.
crystal system: trigonal

Cell lengths 4.1370, 4.1370, 7.9990 Å; angles 90.00, 90.00, 120.00 degrees
Closest atoms and distances in Å follow each position.
Space group P-3m1 (No. 164)
Unique sites:
Hf: 0.3333 0.6667 0.2596 (multiplicity 2)  4 Ni 2.61-2.69, 4 Cu 2.75-2.79
Ga: 0.0000 0.0000 0.0000 (multiplicity 1)  6 Cu 2.49
Ga: 0.0000 0.0000 0.5000 (multiplicity 1)  6 Ni 2.49
Cu: 0.3333 0.6667 0.9106 (multiplicity 2)  3 Ga 2.49, 1 Ni 2.60, 4 Hf 2.75-2.79, 3 Cu 2.78
Ni: 0.3333 0.6667 0.5860 (multiplicity 2)  3 Ga 2.49, 1 Cu 2.60, 4 Hf 2.61-2.69, 3 Ni 2.76